# 1
A relaxed Er6AlZn5 crystal. Source: the Alexandria database, functional PBE.

E: -41.8 eV/cell
total magnetic moment: 0.000 μB/cell
formation enthalpy at 0 K: -8.29 kcal/mol of atoms

Lattice parameters (Å, degrees): 7.922 7.922 7.120 90.00 90.00 143.24
Atoms (fractional coordinates):
1 Er 0.000 0.000 0.247
2 Er 0.000 0.000 0.753
3 Er 0.332 0.668 0.249
4 Er 0.332 0.668 0.751
5 Er 0.668 0.332 0.249
6 Er 0.668 0.332 0.751
7 Al 0.500 0.500 0.500
8 Zn 0.164 0.836 0.500
9 Zn 0.166 0.834 0.000
10 Zn 0.500 0.500 0.000
11 Zn 0.834 0.166 0.000
12 Zn 0.836 0.164 0.500

# 2
A relaxed Th2PaGa2Ru5 crystal. Source: the Alexandria database, functional PBE.

E: -164.0 eV/cell
total magnetic moment: 0.000 μB/cell
formation enthalpy at 0 K: -12.03 kcal/mol of atoms

Lattice parameters (Å, degrees): 10.189 10.189 3.600 90.00 90.00 90.00
Atoms (fractional coordinates):
1 Th 0.170 0.330 0.000
2 Th 0.330 0.830 0.000
3 Th 0.670 0.170 0.000
4 Th 0.830 0.670 0.000
5 Pa 0.000 0.000 0.000
6 Pa 0.500 0.500 0.000
7 Ga 0.125 0.625 0.000
8 Ga 0.375 0.125 0.000
9 Ga 0.625 0.875 0.000
10 Ga 0.875 0.375 0.000
11 Ru 0.000 0.500 0.500
12 Ru 0.073 0.796 0.500
13 Ru 0.204 0.073 0.500
14 Ru 0.296 0.573 0.500
15 Ru 0.427 0.296 0.500
16 Ru 0.500 0.000 0.500
17 Ru 0.573 0.704 0.500
18 Ru 0.704 0.427 0.500
19 Ru 0.796 0.927 0.500
20 Ru 0.927 0.204 0.500

# 3
A relaxed RbNaF2 crystal. Source: the Alexandria database, functional PBE.

formation energy (no corrections): -2.633 eV/atom
E: -49.7 eV/cell
relative energy among the computed polymorphs: 23 meV per atom
total magnetic moment: 0.436 μB/cell

Lattice parameters (Å, degrees): 6.412 6.412 7.301 90.00 90.00 120.00
Atoms (fractional coordinates):
1 Rb 0.000 0.654 0.167
2 Rb 0.346 0.346 0.500
3 Rb 0.654 0.000 0.833
4 Na 0.000 0.589 0.667
5 Na 0.411 0.411 0.000
6 Na 0.589 0.000 0.333
7 F 0.098 0.415 0.886
8 F 0.316 0.902 0.553
9 F 0.415 0.098 0.114
10 F 0.585 0.684 0.219
11 F 0.684 0.585 0.781
12 F 0.902 0.316 0.447

# 4
A relaxed ScInSe2 crystal. Source: the Alexandria database, functional PBE.

formation energy (no corrections): -1.051 eV/atom
E: -20.2 eV/cell
total magnetic moment: 0.000 μB/cell

Lattice parameters (Å, degrees): 8.526 8.526 8.526 156.10 154.34 35.35
Atoms (fractional coordinates):
1 Sc 0.000 0.000 0.000
2 In 0.729 0.229 0.500
3 Se 0.125 0.625 0.500
4 Se 0.436 0.436 0.000

# 5
A relaxed BaP2S crystal. Source: the Alexandria database, functional PBE.

formation energy (no corrections): -0.090 eV/atom
E: -34.5 eV/cell
total magnetic moment: 0.000 μB/cell

Lattice parameters (Å, degrees): 6.440 6.440 6.440 107.58 107.58 113.32
Atoms (fractional coordinates):
1 Ba 0.000 0.000 0.000
2 Ba 0.750 0.250 0.500
3 P 0.238 0.625 0.113
4 P 0.375 0.488 0.613
5 P 0.512 0.125 0.887
6 P 0.875 0.762 0.387
7 S 0.250 0.750 0.500
8 S 0.500 0.500 0.000

# 6
A relaxed Hg2Pt2Pb crystal. Source: the Alexandria database, functional PBE.

E: -32.1 eV/cell
relative energy among the computed polymorphs: 59 meV per atom
total magnetic moment: 0.000 μB/cell
formation enthalpy at 0 K: 1.56 kcal/mol of atoms

Lattice parameters (Å, degrees): 8.305 8.305 3.037 90.00 90.00 90.00
Atoms (fractional coordinates):
1 Hg 0.130 0.370 0.000
2 Hg 0.370 0.870 0.000
3 Hg 0.630 0.130 0.000
4 Hg 0.870 0.630 0.000
5 Pt 0.168 0.668 0.500
6 Pt 0.332 0.168 0.500
7 Pt 0.668 0.832 0.500
8 Pt 0.832 0.332 0.500
9 Pb 0.000 0.000 0.000
10 Pb 0.500 0.500 0.000

# 7
A relaxed PrUPt4 crystal. Source: the Alexandria database, functional PBE.

E: -45.0 eV/cell
total magnetic moment: 2.845 μB/cell
formation enthalpy at 0 K: -18.22 kcal/mol of atoms

Lattice parameters (Å, degrees): 5.488 5.488 5.488 60.00 60.00 60.00
Atoms (fractional coordinates):
1 Pr 0.000 0.000 0.000
2 U 0.250 0.250 0.250
3 Pt 0.126 0.625 0.625
4 Pt 0.625 0.126 0.625
5 Pt 0.625 0.625 0.126
6 Pt 0.625 0.625 0.625

# 8
A relaxed InHN2 crystal. Source: the Alexandria database, functional PBE.

E: -15.7 eV/cell
relative energy among the computed polymorphs: 945 meV per atom
total magnetic moment: 0.000 μB/cell

Lattice parameters (Å, degrees): 5.529 5.529 5.529 32.46 32.46 32.46
Atoms (fractional coordinates):
1 In 0.000 0.000 0.000
2 H 0.500 0.500 0.500
3 N 0.151 0.151 0.151
4 N 0.849 0.849 0.849

# 9
A relaxed Pd3Pt5Rh2 crystal. Source: the Alexandria database, functional PBE.

E: -112.4 eV/cell
total magnetic moment: 0.000 μB/cell
formation enthalpy at 0 K: 9.89 kcal/mol of atoms

Lattice parameters (Å, degrees): 8.677 8.677 8.677 108.00 82.43 145.37
Atoms (fractional coordinates):
1 Pd 0.162 0.586 0.748
2 Pd 0.250 0.250 0.000
3 Pd 0.338 0.086 0.424
4 Pd 0.662 0.914 0.576
5 Pd 0.750 0.750 0.000
6 Pd 0.838 0.414 0.252
7 Pt 0.156 0.161 0.317
8 Pt 0.250 0.504 0.254
9 Pt 0.250 0.750 0.500
10 Pt 0.250 0.996 0.746
11 Pt 0.344 0.661 0.005
12 Pt 0.656 0.339 0.995
13 Pt 0.750 0.004 0.254
14 Pt 0.750 0.250 0.500
15 Pt 0.750 0.496 0.746
16 Pt 0.844 0.839 0.683
17 Rh 0.207 0.874 0.081
18 Rh 0.293 0.374 0.668
19 Rh 0.707 0.626 0.332
20 Rh 0.793 0.126 0.919

# 10
A relaxed SrTa2Br crystal. Source: the Alexandria database, functional PBE.

formation energy (no corrections): 0.277 eV/atom
E: -26.0 eV/cell
relative energy among the computed polymorphs: 209 meV per atom
total magnetic moment: 0.000 μB/cell

Lattice parameters (Å, degrees): 3.287 3.287 9.379 90.00 90.00 108.06
Atoms (fractional coordinates):
1 Sr 0.000 0.000 0.000
2 Ta 0.000 0.000 0.486
3 Ta 0.500 0.500 0.292
4 Br 0.500 0.500 0.746

# 11
A relaxed P2IrAu crystal. Source: the Alexandria database, functional PBE.

E: -21.7 eV/cell
relative energy among the computed polymorphs: 537 meV per atom
total magnetic moment: 0.000 μB/cell
formation enthalpy at 0 K: 7.20 kcal/mol of atoms

Lattice parameters (Å, degrees): 2.764 2.764 10.567 90.00 90.00 120.69
Atoms (fractional coordinates):
1 P 0.000 0.000 0.197
2 P 0.000 0.000 0.803
3 Ir 0.500 0.500 0.000
4 Au 0.500 0.500 0.500

# 12
A relaxed ThIn2Ni2 crystal. Source: the Alexandria database, functional PBE.

E: -26.4 eV/cell
total magnetic moment: 0.000 μB/cell
formation enthalpy at 0 K: -8.88 kcal/mol of atoms

Lattice parameters (Å, degrees): 5.386 5.386 5.237 103.83 103.83 43.55
Atoms (fractional coordinates):
1 Th 0.000 0.000 0.000
2 In 0.349 0.349 0.418
3 In 0.651 0.651 0.582
4 Ni 0.290 0.290 0.887
5 Ni 0.710 0.710 0.113